Density functional theory data (GGA-PBE) for a relaxed structure of CoWN3.

Cell lengths 3.927, 3.927, 3.927 Å; angles 90.00, 90.00, 90.00 degrees
Sites, in units of the cell vectors:
1 N 0.000 0.500 0.000
2 N 0.500 0.000 0.000
3 N 0.000 0.000 0.500
4 Co 0.500 0.500 0.500
5 W 0.000 0.000 0.000

SG ... Pm-3m (221)
N(E_F) ... 4.49 states/eV per cell
Energy ... -8.11 eV/atom
ΔE_f (raw) ... 893 meV per atom
Total magnetic moment ... 0.693 μB/atom



Density functional theory data (GGA-PBE) for a relaxed structure of Ac2Nd3Co2.

Cell lengths 3.887, 6.630, 9.008 Å; angles 72.26, 77.54, 72.95 degrees
Sites, in units of the cell vectors:
1 Nd 0.500 0.000 0.000
2 Nd 0.620 0.177 0.584
3 Nd 0.380 0.823 0.416
4 Co 0.824 0.105 0.248
5 Co 0.176 0.895 0.752
6 Ac 0.828 0.548 0.796
7 Ac 0.172 0.452 0.204

SG ... C2/m (12)
N(E_F) ... 7.95 states/eV per cell
Energy ... -5.28 eV/atom
Total magnetic moment ... 0.000 μB/atom
Formation energy from the elements ... -0.03 eV/atom



Density functional theory data (GGA-PBE) for a relaxed structure of Er2Tl2Au.

Cell lengths 3.580, 3.583, 10.472 Å; angles 80.15, 90.00, 90.00 degrees
Sites, in units of the cell vectors:
1 Au 0.000 0.000 0.000
2 Er 0.500 0.585 0.830
3 Er 0.500 0.415 0.170
4 Tl 0.000 0.812 0.375
5 Tl 0.000 0.188 0.625

SG ... Cmmm (65)
N(E_F) ... 3.45 states/eV per cell
Energy ... -3.81 eV/atom
Total magnetic moment ... 0.000 μB/atom
Formation energy from the elements ... -0.39 eV/atom



Density functional theory data (GGA-PBE) for a relaxed structure of Sr4MgPt.

Cell lengths 6.873, 6.873, 6.873 Å; angles 60.00, 60.00, 60.00 degrees
Sites, in units of the cell vectors:
1 Sr 0.374 0.877 0.374
2 Sr 0.877 0.374 0.374
3 Sr 0.374 0.374 0.877
4 Sr 0.374 0.374 0.374
5 Mg 0.750 0.750 0.750
6 Pt 0.000 0.000 0.000

SG ... F-43m (216)
N(E_F) ... 8.94 states/eV per cell
Energy ... -1.82 eV/atom
Total magnetic moment ... 0.000 μB/atom
Formation energy from the elements ... 0.58 eV/atom



Density functional theory data (GGA-PBE) for a relaxed structure of K2InPbI5.

Cell lengths 4.829, 10.803, 16.762 Å; angles 90.00, 90.00, 102.92 degrees
Sites, in units of the cell vectors:
1 In 0.565 0.129 0.946
2 In 0.435 0.871 0.446
3 I 0.502 0.003 0.260
4 I 0.602 0.205 0.486
5 I 0.398 0.795 0.986
6 I 0.098 0.197 0.080
7 I 0.236 0.472 0.668
8 I 0.902 0.803 0.580
9 I 0.498 0.997 0.760
10 I 0.764 0.528 0.168
11 I 0.726 0.452 0.904
12 I 0.274 0.548 0.404
13 Pb 0.248 0.496 0.036
14 Pb 0.752 0.504 0.536
15 K 0.121 0.243 0.304
16 K 0.931 0.862 0.140
17 K 0.879 0.757 0.804
18 K 0.069 0.138 0.640

SG ... Cmc2_1 (36)
N(E_F) ... 0.00 states/eV per cell
Energy ... -2.77 eV/atom
ΔE_f (raw) ... -946 meV per atom
Total magnetic moment ... 0.000 μB/atom



Density functional theory data (GGA-PBE) for a relaxed structure of PaTiB2.

Cell lengths 3.460, 3.460, 6.006 Å; angles 73.26, 73.26, 60.00 degrees
Sites, in units of the cell vectors:
1 Pa 0.500 0.500 0.500
2 B 0.263 0.263 0.210
3 B 0.737 0.737 0.790
4 Ti 0.000 0.000 0.000

SG ... R-3m (166)
N(E_F) ... 3.79 states/eV per cell
Energy ... -7.76 eV/atom
Total magnetic moment ... 0.000 μB/atom
Formation energy from the elements ... -0.07 eV/atom



Density functional theory data (GGA-PBE) for a relaxed structure of CsPuNpBr6.

Cell lengths 7.774, 7.774, 15.663 Å; angles 90.00, 90.00, 120.00 degrees
Sites, in units of the cell vectors:
1 Br 0.997 0.375 0.143
2 Br 0.375 0.378 0.857
3 Br 0.997 0.622 0.357
4 Br 0.003 0.378 0.643
5 Br 0.378 0.375 0.357
6 Br 0.375 0.997 0.643
7 Br 0.378 0.003 0.143
8 Br 0.622 0.625 0.643
9 Br 0.622 0.997 0.857
10 Br 0.003 0.625 0.857
11 Br 0.625 0.622 0.143
12 Br 0.625 0.003 0.357
13 Np 0.667 0.333 0.250
14 Np 0.333 0.667 0.750
15 Pu 0.667 0.333 0.750
16 Pu 0.333 0.667 0.250
17 Cs 0.000 0.000 0.500
18 Cs 0.000 0.000 0.000

SG ... P-31c (163)
N(E_F) ... 41.25 states/eV per cell
Energy ... -5.74 eV/atom
ΔE_f (raw) ... -1497 meV per atom
Total magnetic moment ... 0.148 μB/atom



Density functional theory data (GGA-PBE) for a relaxed structure of Mn2TcCl.

Cell lengths 4.907, 4.907, 4.907 Å; angles 147.36, 129.08, 61.80 degrees
Sites, in units of the cell vectors:
1 Mn 0.477 0.477 0.000
2 Mn 0.023 0.023 0.000
3 Tc 0.750 0.250 0.500
4 Cl 0.250 0.750 0.500

SG ... Immm (71)
N(E_F) ... 4.32 states/eV per cell
Energy ... -7.02 eV/atom
ΔE_f (raw) ... 622 meV per atom
Total magnetic moment ... 0.222 μB/atom
Excess energy over the best structure of this formula in the dataset ... 0.5377 eV per atom



Density functional theory data (GGA-PBE) for a relaxed structure of Ca3Tb2AgTe6.

Cell lengths 7.711, 7.711, 7.684 Å; angles 99.67, 99.67, 119.94 degrees
Sites, in units of the cell vectors:
1 Te 0.253 0.253 0.758
2 Te 0.747 0.747 0.242
3 Te 0.081 0.414 0.242
4 Te 0.414 0.081 0.242
5 Te 0.586 0.919 0.758
6 Te 0.919 0.586 0.758
7 Tb 0.333 0.667 0.000
8 Tb 0.667 0.333 0.000
9 Ca 0.834 0.166 0.500
10 Ca 0.166 0.834 0.500
11 Ca 0.500 0.500 0.500
12 Ag 0.000 0.000 0.000

SG ... C2/m (12)
N(E_F) ... 3.97 states/eV per cell
Energy ... -4.39 eV/atom
ΔE_f (raw) ... -1308 meV per atom
Total magnetic moment ... 0.000 μB/atom



What is the total magnetic moment in the ninth record? 0.000 μB/atom



Which of these has the lowest energy? CoWN3



What is the total magnetic moment in the sixth record? 0.000 μB/atom